CeBPt: relaxed, PBE-GGA.

Calculated values
Space group: Fmmm, No. 69
M_tot: 1.8 μB per cell
Formation energy from the elements: -0.363 eV per atom

Lattice parameters (Å, degrees): 3.3075 4.8741 7.7375 85.84 77.66 70.17
Last column: magnetic moment on the atom in μB.
Atoms (fractional coordinates):
B (0.7500, 0.5000, 0.5000)  0.00
B (0.2500, 0.5000, 0.5000)  0.00
Pt (0.8587, 0.2827, 0.0000)  -0.02
Pt (0.1413, 0.7173, 0.0000)  -0.02
Ce (0.6359, 0.0000, 0.7282)  0.73
Ce (0.3641, 0.0000, 0.2718)  0.73

Ce3BPt8: relaxed, PBE-GGA.

Calculated values
Space group: P3m1, No. 156
M_tot: 1.8 μB per cell
Formation energy from the elements: -0.761 eV per atom

Lattice parameters (Å, degrees): 5.4438 5.4438 9.1567 90.00 90.00 120.00
Last column: magnetic moment on the atom in μB.
Atoms (fractional coordinates):
Ce (0.3333, 0.6667, 0.5152)  0.54
Ce (0.3333, 0.6667, 0.9145)  0.69
Ce (0.0000, 0.0000, 0.1002)  0.57
B (0.0000, 0.0000, 0.5935)  -0.01
Pt (0.6667, 0.3333, 0.4796)  -0.04
Pt (0.6667, 0.3333, 0.9861)  -0.04
Pt (0.4988, 0.5012, 0.2358)  -0.03
Pt (0.4988, 0.9977, 0.2358)  -0.03
Pt (0.0023, 0.5012, 0.2358)  -0.03
Pt (0.8307, 0.1693, 0.7345)  -0.03
Pt (0.8307, 0.6615, 0.7345)  -0.03
Pt (0.3385, 0.1693, 0.7345)  -0.03

CeBPt4: relaxed, PBE-GGA.

Calculated values
Space group: Pmma, No. 51
E above lowest polymorph: 188 meV/atom
M_tot: 0.2 μB per cell
Formation energy from the elements: -0.590 eV per atom

Lattice parameters (Å, degrees): 3.8902 6.6867 7.5756 90.00 90.00 90.00
Last column: magnetic moment on the atom in μB.
Atoms (fractional coordinates):
Ce (0.0000, 0.5971, 0.7500)  -0.12
Ce (0.0000, 0.4029, 0.2500)  -0.12
B (0.0000, 0.1501, 0.7500)  0.00
B (0.0000, 0.8499, 0.2500)  0.00
Pt (0.0000, 0.0000, 0.5000)  0.00
Pt (0.0000, 0.0000, 0.0000)  0.00
Pt (0.5000, 0.9488, 0.7500)  0.00
Pt (0.5000, 0.0512, 0.2500)  0.00
Pt (0.5000, 0.6916, 0.0598)  0.01
Pt (0.5000, 0.3084, 0.9402)  0.01
Pt (0.5000, 0.6916, 0.4402)  0.01
Pt (0.5000, 0.3084, 0.5598)  0.01

Ce3B2Pt9: relaxed, PBE-GGA.

Calculated values
Space group: P6_3/mmc, No. 194
M_tot: 3.3 μB per cell
Formation energy from the elements: -0.793 eV per atom

Lattice parameters (Å, degrees): 6.1808 6.1810 14.5358 90.00 90.00 120.00
Last column: magnetic moment on the atom in μB.
Atoms (fractional coordinates):
Ce (0.0000, 0.0000, 0.7500)  0.46
Ce (0.0000, 0.0000, 0.2500)  0.46
Ce (0.6667, 0.3333, 0.9217)  0.53
Ce (0.3333, 0.6667, 0.0783)  0.53
Ce (0.3333, 0.6667, 0.4217)  0.53
Ce (0.6667, 0.3333, 0.5783)  0.53
B (0.6667, 0.3333, 0.1480)  0.00
B (0.3333, 0.6667, 0.8520)  0.00
B (0.3333, 0.6667, 0.6480)  0.00
B (0.6667, 0.3333, 0.3520)  0.00
Pt (0.5009, 0.0018, 0.7500)  0.01
Pt (0.9982, 0.4991, 0.7500)  0.01
Pt (0.5009, 0.4991, 0.7500)  0.01
Pt (0.4991, 0.9982, 0.2500)  0.01
Pt (0.0018, 0.5009, 0.2500)  0.01
Pt (0.4991, 0.5009, 0.2500)  0.01
Pt (0.1560, 0.3121, 0.9182)  0.00
Pt (0.6879, 0.8440, 0.9182)  0.00
Pt (0.1560, 0.8440, 0.9182)  0.00
Pt (0.8440, 0.6879, 0.0818)  0.00
Pt (0.3121, 0.1560, 0.0818)  0.00
Pt (0.8440, 0.1560, 0.0818)  0.00
Pt (0.8440, 0.6879, 0.4182)  0.00
Pt (0.3121, 0.1560, 0.4182)  0.00
Pt (0.8440, 0.1560, 0.4182)  0.00
Pt (0.1560, 0.3121, 0.5818)  0.00
Pt (0.6879, 0.8440, 0.5818)  0.00
Pt (0.1560, 0.8440, 0.5818)  0.00

CeBPt3: relaxed, PBE-GGA.

Calculated values
Space group: P4mm, No. 99
M_tot: 0.7 μB per cell
Formation energy from the elements: -0.889 eV per atom

Lattice parameters (Å, degrees): 3.9896 3.9896 5.1856 90.00 90.00 90.00
Last column: magnetic moment on the atom in μB.
Atoms (fractional coordinates):
B (0.5000, 0.5000, 0.7095)  0.01
Ce (0.0000, 0.0000, 0.9833)  0.52
Pt (0.0000, 0.5000, 0.5147)  0.01
Pt (0.5000, 0.5000, 0.1196)  0.01
Pt (0.5000, 0.0000, 0.5147)  0.01

CeB2PtRh5: relaxed, PBE-GGA.

Calculated values
Space group: P4/mmm, No. 123
M_tot: 0.0 μB per cell
Formation energy from the elements: -0.237 eV per atom

Lattice parameters (Å, degrees): 4.1910 4.1910 7.5989 90.00 90.00 90.00
Atoms (fractional coordinates):
Ce (0.0000, 0.0000, 0.5000)
B (0.5000, 0.5000, 0.2068)
B (0.5000, 0.5000, 0.7932)
Pt (0.0000, 0.0000, 0.0000)
Rh (0.0000, 0.5000, 0.2252)
Rh (0.5000, 0.0000, 0.2252)
Rh (0.0000, 0.5000, 0.7748)
Rh (0.5000, 0.0000, 0.7748)
Rh (0.5000, 0.5000, 0.5000)

Ce2BPt2Rh4: relaxed, PBE-GGA.

Calculated values
Space group: I4/mmm, No. 139
M_tot: 0.0 μB per cell
Formation energy from the elements: -0.881 eV per atom

Lattice parameters (Å, degrees): 5.8686 5.8686 5.8686 92.06 118.82 118.82
Atoms (fractional coordinates):
Ce (0.5000, 0.7500, 0.2500)
Ce (0.5000, 0.2500, 0.7500)
B (0.0000, 0.0000, 0.0000)
Pt (0.0000, 0.7391, 0.7391)
Pt (0.0000, 0.2609, 0.2609)
Rh (0.0000, 0.7466, 0.2534)
Rh (0.4931, 0.7466, 0.7466)
Rh (0.0000, 0.2534, 0.7466)
Rh (0.5069, 0.2534, 0.2534)

Ce2B2PtRh5: relaxed, PBE-GGA.

Calculated values
Space group: P4/mbm, No. 127
M_tot: 0.0 μB per cell
Formation energy from the elements: -0.638 eV per atom

Lattice parameters (Å, degrees): 3.3644 9.4568 9.4568 90.00 90.00 90.00
Atoms (fractional coordinates):
Ce (0.0000, 0.6799, 0.1799)
Ce (0.0000, 0.3201, 0.8201)
Ce (0.0000, 0.1799, 0.3201)
Ce (0.0000, 0.8201, 0.6799)
B (0.0000, 0.1194, 0.6194)
B (0.0000, 0.8806, 0.3806)
B (0.0000, 0.6194, 0.8806)
B (0.0000, 0.3806, 0.1194)
Pt (0.0000, 0.0000, 0.0000)
Pt (0.0000, 0.5000, 0.5000)
Rh (0.5000, 0.2246, 0.0714)
Rh (0.5000, 0.7754, 0.9286)
Rh (0.5000, 0.0714, 0.7754)
Rh (0.5000, 0.7246, 0.4286)
Rh (0.5000, 0.9286, 0.2246)
Rh (0.5000, 0.2754, 0.5714)
Rh (0.5000, 0.5714, 0.7246)
Rh (0.5000, 0.4286, 0.2754)
Rh (0.5000, 0.5000, 0.0000)
Rh (0.5000, 0.0000, 0.5000)

Ce3B2PtRh9: relaxed, PBE-GGA.

Calculated values
Space group: P-3m1, No. 164
M_tot: 0.2 μB per cell
Formation energy from the elements: -0.565 eV per atom

Lattice parameters (Å, degrees): 5.7312 5.7312 9.0095 90.00 90.00 120.00
Last column: magnetic moment on the atom in μB.
Atoms (fractional coordinates):
Ce (0.3333, 0.6667, 0.6468)  -0.13
Ce (0.0000, 0.0000, 0.0000)  -0.01
Ce (0.6667, 0.3333, 0.3532)  -0.13
B (0.3333, 0.6667, 0.1441)  0.00
B (0.6667, 0.3333, 0.8559)  0.00
Pt (0.0000, 0.0000, 0.5000)  0.01
Rh (0.8384, 0.1616, 0.7303)  0.02
Rh (0.8384, 0.6768, 0.7303)  0.02
Rh (0.3232, 0.1616, 0.7303)  0.02
Rh (0.6768, 0.8384, 0.2697)  0.02
Rh (0.1616, 0.3232, 0.2697)  0.02
Rh (0.1616, 0.8384, 0.2697)  0.02
Rh (0.5000, 0.0000, 0.0000)  0.01
Rh (0.0000, 0.5000, 0.0000)  0.01
Rh (0.5000, 0.5000, 0.0000)  0.01

CeBPtRh2: relaxed, PBE-GGA.

Calculated values
Space group: P4/mmm, No. 123
M_tot: 0.7 μB per cell
Formation energy from the elements: -0.734 eV per atom

Lattice parameters (Å, degrees): 4.2753 4.2972 4.2972 90.00 90.00 90.00
Last column: magnetic moment on the atom in μB.
Atoms (fractional coordinates):
Ce (0.5000, 0.5000, 0.5000)  0.63
B (0.0000, 0.0000, 0.0000)  0.01
Pt (0.5000, 0.0000, 0.0000)  0.02
Rh (0.0000, 0.0000, 0.5000)  0.01
Rh (0.0000, 0.5000, 0.0000)  0.01

Ce4B3PtRh12: relaxed, PBE-GGA.

Calculated values
Space group: Im-3m, No. 229
M_tot: 0.4 μB per cell
Formation energy from the elements: -0.510 eV per atom

Lattice parameters (Å, degrees): 7.5697 7.5697 7.5697 109.47 109.47 109.47
Last column: magnetic moment on the atom in μB.
Atoms (fractional coordinates):
Ce (0.5000, 0.5000, 0.5000)  0.24
Ce (0.0000, 0.0000, 0.5000)  0.24
Ce (0.5000, 0.0000, 0.0000)  0.24
Ce (0.0000, 0.5000, 0.0000)  0.24
B (0.5000, 0.0000, 0.5000)  0.00
B (0.5000, 0.5000, 0.0000)  0.00
B (0.0000, 0.5000, 0.5000)  0.00
Pt (0.0000, 0.0000, 0.0000)  -0.01
Rh (0.2500, 0.5000, 0.7500)  -0.06
Rh (0.7190, 0.0000, 0.7190)  -0.04
Rh (0.2810, 0.0000, 0.2810)  -0.04
Rh (0.7500, 0.5000, 0.2500)  -0.06
Rh (0.7190, 0.7190, 0.0000)  -0.04
Rh (0.2810, 0.2810, 0.0000)  -0.04
Rh (0.7500, 0.2500, 0.5000)  -0.06
Rh (0.2500, 0.7500, 0.5000)  -0.06
Rh (0.5000, 0.2500, 0.7500)  -0.06
Rh (0.0000, 0.7190, 0.7190)  -0.04
Rh (0.5000, 0.7500, 0.2500)  -0.06
Rh (0.0000, 0.2810, 0.2810)  -0.04

Ce3SiB2Pt9: relaxed, PBE-GGA.

Calculated values
Space group: P-3m1, No. 164
M_tot: 2.0 μB per cell
Uncorrected formation energy: -798 meV per atom

Lattice parameters (Å, degrees): 5.7740 5.7740 9.2430 90.00 90.00 120.00
Last column: magnetic moment on the atom in μB.
Atoms (fractional coordinates):
Ce (0.3333, 0.6667, 0.6070)  0.67
Ce (0.0000, 0.0000, 0.0000)  0.58
Ce (0.6667, 0.3333, 0.3930)  0.67
Si (0.0000, 0.0000, 0.5000)  -0.01
B (0.3333, 0.6667, 0.1514)  0.00
B (0.6667, 0.3333, 0.8486)  0.00
Pt (0.8343, 0.1657, 0.7039)  -0.01
Pt (0.8343, 0.6686, 0.7039)  -0.01
Pt (0.3314, 0.1657, 0.7039)  -0.01
Pt (0.6686, 0.8343, 0.2961)  -0.01
Pt (0.1657, 0.3314, 0.2961)  -0.01
Pt (0.1657, 0.8343, 0.2961)  -0.01
Pt (0.5000, 0.0000, 0.0000)  -0.01
Pt (0.0000, 0.5000, 0.0000)  -0.01
Pt (0.5000, 0.5000, 0.0000)  -0.01